Entry 1:
Entry from the Alexandria database: an optimized crystal structure of TmSi2IrRu (PBE).

Results
Total magnetic moment: 0.00 μB per atom
E: -7.710 eV/atom
Volume: 16.4 Å³/atom
DOS at the Fermi energy: 1.8 states/eV/cell

a b c (Å): 4.1213 4.1213 5.6448
angles (deg): 111.41 111.41 90.00
Atoms (fractional coordinates):
Ir 0.2500 0.7500 0.5000
Si 0.3744 0.3744 0.7488
Tm 0.0000 0.0000 0.0000
Si 0.6256 0.6256 0.2512
Ru 0.7500 0.2500 0.5000


Entry 2:
Entry from the Alexandria database: an optimized crystal structure of U2Si6IrRu (PBE).

Results
Total magnetic moment: 0.54 μB per atom
E: -7.618 eV/atom
Volume: 18.0 Å³/atom
DOS at the Fermi energy: 17.5 states/eV/cell

a b c (Å): 5.8237 5.8237 12.6815
angles (deg): 76.73 76.73 60.00
Each line ends with the local moment (μB).
Atoms (fractional coordinates):
U 0.8728 0.8728 0.3818  2.20
Si 0.9372 0.3397 0.3834  0.01
U 0.2826 0.2826 0.1522  2.47
Ru 0.4230 0.4230 0.7310  0.10
Ru 0.5770 0.5770 0.2690  0.10
Ir 0.5000 0.5000 0.5000  0.06
Si 0.2217 0.8076 0.1632  0.00
Si 0.1924 0.7783 0.8368  0.00
Si 0.7783 0.1924 0.8368  0.00
U 0.1272 0.1272 0.6182  2.20
Si 0.8076 0.2217 0.1632  0.00
U 0.7174 0.7174 0.8478  2.47
Si 0.6603 0.6603 0.6166  0.01
Si 0.1924 0.1924 0.8368  0.00
Si 0.3397 0.3397 0.3834  0.01
Ir 0.0000 0.0000 0.0000  -0.05
Si 0.6603 0.0628 0.6166  0.01
Si 0.3397 0.9372 0.3834  0.01
Si 0.8076 0.8076 0.1632  0.00
Si 0.0628 0.6603 0.6166  0.01


Entry 3:
Entry from the Alexandria database: an optimized crystal structure of U2Si3Ir4Ru (PBE).

Results
Total magnetic moment: 0.00 μB per atom
E: -8.974 eV/atom
Volume: 16.8 Å³/atom
DOS at the Fermi energy: 8.5 states/eV/cell

a b c (Å): 3.9265 3.9265 10.8781
angles (deg): 90.00 90.00 90.00
Atoms (fractional coordinates):
Ru 0.5000 0.5000 0.5000
Si 0.0000 0.0000 0.5000
Ir 0.5000 0.0000 0.6641
Ir 0.0000 0.5000 0.3359
Si 0.5000 0.0000 0.8778
Ir 0.0000 0.0000 0.0000
Si 0.0000 0.5000 0.1222
U 0.5000 0.0000 0.2562
U 0.0000 0.5000 0.7438
Ir 0.5000 0.5000 0.0000


Question: The highest E belongs to which entry?
Answer: U2Si6IrRu


Question: The lowest volume belongs to which entry?
Answer: TmSi2IrRu